w.
Al3TlP | PBE | relaxed

Summary:
Space group: Pm-3m
Calculated density in Mg/m³: 3.9
Total magnetization in μB/cell: 0.00

Cell: 5.1205 5.1205 5.1205 Å, 90.00 90.00 90.00°
Last column: nearest neighbours and their distance in Å.
Fractional positions:
P 0.5000 0.5000 0.5000  12 Al 3.62
Tl 0.0000 0.0000 0.0000  6 Al 2.56
Al 0.0000 0.5000 0.0000  2 Tl 2.56
Al 0.0000 0.0000 0.5000  2 Tl 2.56
Al 0.5000 0.0000 0.0000  2 Tl 2.56



x.
Al3TlP | PBE | relaxed

Summary:
Space group: Pm-3m
Calculated density in Mg/m³: 4.8
Total magnetization in μB/cell: 0.00

Cell: 4.7956 4.7956 4.7956 Å, 90.00 90.00 90.00°
Last column: nearest neighbours and their distance in Å.
Fractional positions:
P 0.0000 0.0000 0.0000  6 Al 2.40
Al 0.0000 0.0000 0.5000  2 P 2.40
Al 0.5000 0.0000 0.0000  2 P 2.40
Tl 0.5000 0.5000 0.5000  12 Al 3.39
Al 0.0000 0.5000 0.0000  2 P 2.40



Stability ranking, top and bottom: x is the most stable and w is the least stable.



w.
AlTl3P | PBE | relaxed

Summary:
Space group: Pm-3m
Calculated density in Mg/m³: 7.2
Total magnetization in μB/cell: 0.00

Cell: 5.3609 5.3609 5.3609 Å, 90.00 90.00 90.00°
Last column: nearest neighbours and their distance in Å.
Fractional positions:
Tl 0.0000 0.0000 0.5000  2 P 2.68
Al 0.5000 0.5000 0.5000  12 Tl 3.79
Tl 0.0000 0.5000 0.0000  2 P 2.68
Tl 0.5000 0.0000 0.0000  2 P 2.68
P 0.0000 0.0000 0.0000  6 Tl 2.68



x.
AlTl3P | PBE | relaxed

Summary:
Space group: Pm-3m
Calculated density in Mg/m³: 7.3
Total magnetization in μB/cell: 0.57

Cell: 5.3445 5.3445 5.3445 Å, 90.00 90.00 90.00°
Last column: nearest neighbours and their distance in Å.
Fractional positions:
Tl 0.0000 0.5000 0.0000  2 Al 2.67
Tl 0.5000 0.0000 0.0000  2 Al 2.67
Al 0.0000 0.0000 0.0000  6 Tl 2.67
P 0.5000 0.5000 0.5000  12 Tl 3.78
Tl 0.0000 0.0000 0.5000  2 Al 2.67



Stability ranking, top and bottom: w is the most stable and x is the least stable.